This record from the Alexandria database describes PuNiAg2O4 after structural relaxation. The functional is PBE+U.

Properties
**Final energy**: -6.45 eV per atom

Lattice parameters (Å, degrees): 7.2218 5.9535 5.9440 90.00 90.00 90.00
Fractional positions:
Pu 0.0000 0.1983 0.0000
Pu 0.5000 0.8017 0.5000
Ni 0.0000 0.8399 0.5282
Ni 0.5000 0.1601 0.0282
Ag 0.2366 0.3118 0.5313
Ag 0.2634 0.6882 0.0313
Ag 0.7366 0.6882 0.0313
Ag 0.7634 0.3118 0.5313
O 0.0000 0.1154 0.3421
O 0.0000 0.8734 0.8632
O 0.2268 0.6930 0.4227
O 0.2732 0.3070 0.9227
O 0.5000 0.1266 0.3632
O 0.5000 0.8846 0.8421
O 0.7268 0.3070 0.9227
O 0.7732 0.6930 0.4227